# 1
DFT (GGA-PBE) results for a geometry-optimized Ac2Ga2Pb3 structure.

Cell: 12.3025 4.6654 7.3957 Å, 90.00 95.06 90.00°
Space group C2/m (No. 12)
Unique sites:
Ac1 0.1329 0.0000 0.3077
Ga1 0.0864 0.5000 0.6073
Pb1 0.0000 0.5000 0.0000
Pb2 0.1673 0.0000 0.8179

Computed properties:
Energy of formation ... -0.4507 eV per atom
Electronic total energy ... -4.079 eV per atom
Density of states at the Fermi level ... 3.10 states/eV/f.u.

# 2
DFT (GGA-PBE) results for a geometry-optimized Dy6Ho5Er2 structure.

Cell: 11.5222 20.0515 3.5463 Å, 90.00 90.00 90.00°
Space group Pbam (No. 55)
Unique sites:
Dy1 0.0588 0.0810 0.0000
Dy2 0.0831 0.3683 0.0000
Dy3 0.1726 0.6357 0.5000
Ho1 0.0000 0.5000 0.5000
Ho2 0.0901 0.2269 0.5000
Ho3 0.1985 0.9491 0.5000
Er1 0.1668 0.7903 0.0000

Computed properties:
Energy of formation ... 0.0995 eV per atom
Electronic total energy ... -4.487 eV per atom
Density of states at the Fermi level ... 15.27 states/eV/f.u.

# 3
DFT (GGA-PBE) results for a geometry-optimized CsTl2AgI4 structure.

Cell: 4.9432 16.9266 17.5665 Å, 90.00 90.00 90.00°
Space group Cmcm (No. 63)
Unique sites:
Cs1 0.0000 0.1100 0.2500
Tl1 0.0000 0.3685 0.0524
Ag1 0.0000 0.1644 0.7500
I1 0.0000 0.0000 0.0000
I2 0.0000 0.2695 0.6218
I3 0.0000 0.4272 0.2500

Computed properties:
Electronic total energy ... -2.613 eV per atom
Density of states at the Fermi level ... 0.00 states/eV/f.u.
Formation energy from raw total energies ... -6.26 eV per formula unit

# 4
DFT (GGA-PBE) results for a geometry-optimized Mn2InFe structure.

Cell: 3.3563 4.2233 8.0670 Å, 90.00 90.00 90.00°
Space group Immm (No. 71)
Unique sites:
Mn1 0.0000 0.0000 0.2320
In1 0.0000 0.5000 0.0000
Fe1 0.0000 0.5000 0.5000

Computed properties:
Energy of formation ... 0.2896 eV per atom
Electronic total energy ... -7.095 eV per atom
Density of states at the Fermi level ... 4.09 states/eV/f.u.

# 5
DFT (GGA-PBE) results for a geometry-optimized MgRh4Se8 structure.

Cell: 10.5924 10.5924 10.5924 Å, 90.00 90.00 90.00°
Space group F-43m (No. 216)
Unique sites:
Mg1 0.0000 0.0000 0.0000
Rh1 0.1220 0.1220 0.3780
Se1 0.1125 0.1125 0.6125
Se2 0.1396 0.1396 0.1396

Computed properties:
Electronic total energy ... -5.002 eV per atom
Density of states at the Fermi level ... 12.54 states/eV/f.u.
Formation energy from raw total energies ... -6.15 eV per formula unit

# 6
DFT (GGA-PBE) results for a geometry-optimized Ga2Pb2Au structure.

Cell: 4.7868 4.7868 11.6645 Å, 90.00 90.00 90.00°
Space group I4/mmm (No. 139)
Unique sites:
Ga1 0.0000 0.0000 0.1029
Pb1 0.0000 0.5000 0.2500
Au1 0.0000 0.0000 0.5000

Computed properties:
Energy of formation ... 0.2986 eV per atom
Electronic total energy ... -3.051 eV per atom
Density of states at the Fermi level ... 1.63 states/eV/f.u.
Offset from the most stable computed form ... 343 meV per atom

# 7
DFT (GGA-PBE) results for a geometry-optimized BeTl2Te structure.

Cell: 4.3271 3.8644 6.9896 Å, 90.00 107.17 90.00°
Space group Pm (No. 6)
Unique sites:
Be1 0.0000 0.0000 0.0000
Tl1 0.2337 0.0000 0.4686
Tl2 0.5789 0.5000 0.1701
Te1 0.8900 0.5000 0.7858

Computed properties:
Electronic total energy ... -2.782 eV per atom
Density of states at the Fermi level ... 1.13 states/eV/f.u.
Offset from the most stable computed form ... 102 meV per atom
Formation energy from raw total energies ... 0.47 eV per formula unit

# 8
DFT (GGA-PBE) results for a geometry-optimized BaCaCr2 structure.

Cell: 4.8664 4.4498 12.4490 Å, 90.00 90.00 90.00°
Space group Amm2 (No. 38)
Unique sites:
Ba1 0.0000 0.0000 0.0000
Ca1 0.5000 0.0000 0.7077
Cr1 0.0000 0.0000 0.2784
Cr2 0.5000 0.0000 0.4097

Computed properties:
Energy of formation ... 0.8049 eV per atom
Electronic total energy ... -4.988 eV per atom
Density of states at the Fermi level ... 3.52 states/eV/f.u.
Offset from the most stable computed form ... 315 meV per atom

# 9
DFT (GGA-PBE) results for a geometry-optimized Nb2NiPd2S6 structure.

Cell: 6.2972 10.1396 6.0966 Å, 90.00 99.85 90.00°
Space group C2/m (No. 12)
Unique sites:
Nb1 0.0000 0.1943 0.0000
Ni1 0.0000 0.5000 0.0000
Pd1 0.0000 0.1646 0.5000
S1 0.1420 0.3461 0.7554
S2 0.1526 0.0000 0.7892

Computed properties:
Electronic total energy ... -6.103 eV per atom
Density of states at the Fermi level ... 8.93 states/eV/f.u.
Formation energy from raw total energies ... -6.06 eV per formula unit

# 10
DFT (GGA-PBE) results for a geometry-optimized MgFeRu structure.

Cell: 5.9010 5.9010 5.9010 Å, 90.00 90.00 90.00°
Space group F-43m (No. 216)
Unique sites:
Mg1 0.0000 0.0000 0.0000
Fe1 0.2500 0.2500 0.2500
Ru1 0.2500 0.2500 0.7500

Computed properties:
Energy of formation ... 1.0071 eV per atom
Electronic total energy ... -5.437 eV per atom
Density of states at the Fermi level ... 2.79 states/eV/f.u.
Offset from the most stable computed form ... 951 meV per atom

# 11
DFT (GGA-PBE) results for a geometry-optimized K3RbAu structure.

Cell: 7.7479 8.3667 9.0073 Å, 90.48 105.79 90.92°
Space group P1 (No. 1)
Unique sites:
K1 0.0000 0.0000 0.0000
K2 0.0047 0.0703 0.4843
K3 0.4315 0.6857 0.9050
K4 0.4605 0.2589 0.3157
K5 0.4728 0.7703 0.4280
K6 0.4853 0.1795 0.8482
Rb1 0.9079 0.4949 0.7298
Rb2 0.9385 0.5656 0.2511
Au1 0.2856 0.4427 0.5790
Au2 0.6674 0.9490 0.1716

Computed properties:
Energy of formation ... -0.1240 eV per atom
Electronic total energy ... -1.632 eV per atom
Density of states at the Fermi level ... 3.04 states/eV/f.u.
Offset from the most stable computed form ... 9 meV per atom

# 12
DFT (GGA-PBE) results for a geometry-optimized RbPb3O6 structure.

Cell: 10.7391 3.4540 11.4778 Å, 90.00 109.85 90.00°
Space group P2_1/m (No. 11)
Unique sites:
Rb1 0.1391 0.2500 0.4037
Pb1 0.0933 0.7500 0.9304
Pb2 0.2314 0.2500 0.7439
Pb3 0.4927 0.2500 0.3654
O1 0.0397 0.2500 0.7935
O2 0.1166 0.2500 0.0623
O3 0.1616 0.7500 0.6182
O4 0.2756 0.7500 0.8855
O5 0.3843 0.7500 0.4284
O6 0.4233 0.2500 0.7083

Computed properties:
Electronic total energy ... -5.134 eV per atom
Density of states at the Fermi level ... 1.61 states/eV/f.u.
Formation energy from raw total energies ... -9.50 eV per formula unit

# 13
DFT (GGA-PBE) results for a geometry-optimized Ba2TaIr2 structure.

Cell: 4.2455 4.2455 14.2251 Å, 90.00 90.00 90.00°
Space group I4/mmm (No. 139)
Unique sites:
Ba1 0.0000 0.5000 0.2500
Ta1 0.0000 0.0000 0.0000
Ir1 0.0000 0.0000 0.4158

Computed properties:
Energy of formation ... 1.2706 eV per atom
Electronic total energy ... -5.413 eV per atom
Density of states at the Fermi level ... 5.00 states/eV/f.u.
Offset from the most stable computed form ... 1178 meV per atom

# 14
DFT (GGA-PBE) results for a geometry-optimized Sc2BPCl structure.

Cell: 4.7125 4.7125 4.4542 Å, 90.00 90.00 90.00°
Space group P4/mmm (No. 123)
Unique sites:
Sc1 0.0000 0.5000 0.0000
B1 0.0000 0.0000 0.5000
P1 0.5000 0.5000 0.5000
Cl1 0.5000 0.5000 0.0000

Computed properties:
Electronic total energy ... -4.560 eV per atom
Density of states at the Fermi level ... 4.06 states/eV/f.u.
Formation energy from raw total energies ... 3.80 eV per formula unit

# 15
DFT (GGA-PBE) results for a geometry-optimized Pu2ThCd6 structure.

Cell: 8.9512 8.9512 9.5452 Å, 90.00 90.00 120.00°
Space group R-3m (No. 166, hexagonal axes)
Unique sites:
Pu1 0.0000 0.0000 0.1651
Th1 0.0000 0.0000 0.5000
Cd1 0.0000 0.3323 0.0000

Computed properties:
Energy of formation ... -0.1309 eV per atom
Electronic total energy ... -4.750 eV per atom
Density of states at the Fermi level ... 19.73 states/eV/f.u.

# 16
DFT (GGA-PBE) results for a geometry-optimized LiSb2 structure.

Cell: 5.0527 3.2086 9.3050 Å, 90.00 95.14 90.00°
Space group P2/m (No. 10)
Unique sites:
Li1 0.1848 0.0000 0.1393
Sb1 0.2355 0.5000 0.4128
Sb2 0.3207 0.5000 0.8651

Computed properties:
Electronic total energy ... -3.613 eV per atom
Density of states at the Fermi level ... 0.98 states/eV/f.u.
Offset from the most stable computed form ... 15 meV per atom
Formation energy from raw total energies ... -0.68 eV per formula unit

# 17
DFT (GGA-PBE) results for a geometry-optimized Sr2BN structure.

Cell: 7.0449 7.0449 7.9241 Å, 90.00 90.00 90.00°
Space group I-42d (No. 122)
Unique sites:
Sr1 0.1949 0.7500 0.1250
B1 0.0000 0.0000 0.5000
N1 0.0000 0.0000 0.0000

Computed properties:
Electronic total energy ... -3.999 eV per atom
Density of states at the Fermi level ... 1.52 states/eV/f.u.
Offset from the most stable computed form ... 0 meV per atom
Formation energy from raw total energies ... 2.37 eV per formula unit

# 18
DFT (GGA-PBE) results for a geometry-optimized BeFeRe2 structure.

Cell: 2.6999 2.6999 6.6266 Å, 90.00 90.00 90.00°
Space group P4/mmm (No. 123)
Unique sites:
Be1 0.0000 0.0000 0.0000
Fe1 0.0000 0.0000 0.5000
Re1 0.5000 0.5000 0.2352

Computed properties:
Energy of formation ... 0.0309 eV per atom
Electronic total energy ... -9.240 eV per atom
Density of states at the Fermi level ... 2.27 states/eV/f.u.

# 19
DFT (GGA-PBE) results for a geometry-optimized Sm2Al3ZnAu4 structure.

Cell: 4.4006 4.4006 10.4866 Å, 90.00 90.00 90.00°
Space group P-4m2 (No. 115)
Unique sites:
Sm1 0.0000 0.5000 0.2479
Al1 0.0000 0.0000 0.0000
Al2 0.0000 0.5000 0.6303
Zn1 0.5000 0.5000 0.0000
Au1 0.0000 0.0000 0.5000
Au2 0.0000 0.5000 0.8662
Au3 0.5000 0.5000 0.5000

Computed properties:
Energy of formation ... -0.6782 eV per atom
Electronic total energy ... -4.183 eV per atom
Density of states at the Fermi level ... 5.68 states/eV/f.u.

# 20
DFT (GGA-PBE) results for a geometry-optimized La3AuC structure.

Cell: 5.1128 5.1128 10.8166 Å, 90.00 90.00 120.00°
Space group P6_3/mmc (No. 194)
Unique sites:
La1 0.0000 0.0000 0.2500
La2 0.3333 0.6667 0.0453
Au1 0.3333 0.6667 0.7500
C1 0.0000 0.0000 0.0000

Computed properties:
Energy of formation ... -0.1063 eV per atom
Electronic total energy ... -5.563 eV per atom
Density of states at the Fermi level ... 1.73 states/eV/f.u.
Offset from the most stable computed form ... 274 meV per atom